# Ce4ScU3P8 GGA-PBE optimized geometry
data_Ce4ScU3P8
_cell_length_a 7.9592
_cell_length_b 8.0191
_cell_length_c 7.9600
_cell_angle_alpha 119.76
_cell_angle_beta 120.00
_cell_angle_gamma 90.00
_space_group_name_H-M_alt 'P 1'
_space_group_IT_number 1
loop_
_space_group_symop_operation_xyz
'x,y,z'
loop_
_atom_site_label
_atom_site_type_symbol
_atom_site_fract_x
_atom_site_fract_y
_atom_site_fract_z
P1 P 0.7571 0.2655 0.0083
P2 P 0.2429 0.7345 0.9917
Ce1 Ce 0.0000 0.0000 0.5000
U1 U 0.0000 0.5000 0.5000
P3 P 0.2512 0.2655 0.0083
Ce2 Ce 0.5000 0.0000 0.0000
P4 P 0.2538 0.2614 0.5077
P5 P 0.7572 0.2655 0.5143
P6 P 0.2428 0.7345 0.4857
P7 P 0.7462 0.7386 0.4923
P8 P 0.7488 0.7345 0.9917
Sc1 Sc 0.0000 0.5000 0.0000
Ce3 Ce 0.0000 0.0000 0.0000
Ce4 Ce 0.5000 0.0000 0.5000
U2 U 0.5000 0.5000 0.0000
U3 U 0.5000 0.5000 0.5000
# DFT formation energy ... -29.61 kcal/mol of atoms
# Space group ... R-3m, No. 166
# DOS at the Fermi energy ... 30.58 states/eV/cell
# Energy ... -7.98 eV/atom
# M_tot ... 0.5585 μB per atom